Record 1
VASP calculation (PBEsol) on an optimized crystal structure of PRhN2O.

Values from the calculation:
Total energy, eV per atom: -6.119
Formation energy from raw total energies, eV per atom: 1.127

```
PRhN2O
1.0
3.768 0.000 0.000
0.000 3.768 0.000
0.000 0.000 3.891
N O Rh P
2 1 1 1
Cartesian
0.000 1.884 0.000
1.884 0.000 0.000
0.000 0.000 1.946
0.000 0.000 0.000
1.884 1.884 1.946
```



Record 2
VASP calculation (PBEsol) on an optimized crystal structure of PRhNO2.

Values from the calculation:
Total energy, eV per atom: -6.007
Formation energy from raw total energies, eV per atom: 0.584

```
PRhNO2
1.0
-0.439 3.124 -2.043
-2.477 1.347 2.592
2.887 1.650 1.902
O N P Rh
2 1 1 1
Cartesian
1.444 0.825 0.951
-1.239 0.674 1.296
-0.220 1.562 -1.022
-0.015 3.061 1.225
0.000 0.000 0.000
```



Record 3
VASP calculation (PBEsol) on an optimized crystal structure of ScPNO2.

Values from the calculation:
Total energy, eV per atom: -7.674
Formation energy from raw total energies, eV per atom: -1.390

```
ScPNO2
1.0
3.553 0.000 0.000
0.000 3.553 0.000
0.000 0.000 3.599
P O N Sc
1 2 1 1
Cartesian
0.000 0.000 0.000
1.777 0.000 0.000
0.000 1.777 0.000
0.000 0.000 1.800
1.777 1.777 1.800
```



Record 4
VASP calculation (PBEsol) on an optimized crystal structure of SiP2NO.

Values from the calculation:
Total energy, eV per atom: -5.506
Formation energy from raw total energies, eV per atom: 0.715

```
SiP2NO
1.0
3.225 0.000 0.000
0.000 4.503 0.000
0.000 0.000 4.503
Si P N O
1 2 1 1
Cartesian
0.000 0.000 0.000
0.000 0.000 2.251
0.000 2.251 0.000
1.613 2.251 2.251
1.613 0.000 0.000
```



Record 5
VASP calculation (PBEsol) on an optimized crystal structure of SiPNO2.

Values from the calculation:
Total energy, eV per atom: -6.557
Formation energy from raw total energies, eV per atom: -0.445

```
SiPNO2
1.0
3.447 0.000 0.000
0.000 3.447 0.000
0.000 0.000 3.619
O N Si P
2 1 1 1
Cartesian
1.724 0.000 0.000
0.000 1.724 0.000
0.000 0.000 1.809
1.724 1.724 1.809
0.000 0.000 0.000
```



Record 6
VASP calculation (PBEsol) on an optimized crystal structure of SiPN2O.

Values from the calculation:
Total energy, eV per atom: -6.655
Formation energy from raw total energies, eV per atom: 0.113

```
SiPN2O
1.0
-0.369 3.255 -0.131
-1.146 -0.266 -3.378
-3.365 -0.334 1.167
N Si P O
2 1 1 1
Cartesian
-1.682 -0.167 0.584
-0.573 -0.133 -1.689
-2.440 1.328 -1.171
0.000 0.000 0.000
-0.184 1.628 -0.065
```



Record 7
VASP calculation (PBEsol) on an optimized crystal structure of SnPNO2.

Values from the calculation:
Total energy, eV per atom: -5.212
Formation energy from raw total energies, eV per atom: 0.604

```
SnPNO2
1.0
-1.051 0.524 -3.398
0.453 -3.875 -0.737
-3.770 -0.643 1.067
Sn N O P
1 1 2 1
Cartesian
-2.184 -1.998 -1.534
0.000 0.000 0.000
0.226 -1.938 -0.369
-1.885 -0.322 0.534
-0.526 0.262 -1.699
```



Record 8
VASP calculation (PBEsol) on an optimized crystal structure of Sr3P6N8O6.

Values from the calculation:
Total energy, eV per atom: -7.777
Formation energy from raw total energies, eV per atom: -1.691

```
Sr3P6N8O6
1.0
-0.634 -4.776 -3.602
5.177 -3.516 3.752
-6.991 -0.584 2.004
O N P Sr
6 8 6 3
Cartesian
2.354 -6.577 1.693
0.958 -4.462 -0.866
-1.201 -6.010 1.567
-4.802 -2.299 0.461
-1.247 -2.866 0.587
-3.406 -4.415 3.020
-2.987 -1.953 2.292
1.449 -1.695 0.913
-1.135 -3.354 3.568
2.844 -4.106 3.866
-1.313 -5.522 -1.414
-3.897 -7.182 1.241
-5.292 -4.770 -1.712
0.539 -6.923 -0.137
2.150 -7.273 0.341
-1.700 -1.549 1.231
-0.748 -7.328 0.924
-4.598 -1.604 1.814
0.271 -5.745 -1.355
-2.720 -3.132 3.510
-0.317 -2.388 -1.801
-3.326 -4.510 0.363
0.878 -4.366 1.791
```



Record 9
VASP calculation (PBEsol) on an optimized crystal structure of TcP2NO.

Values from the calculation:
Total energy, eV per atom: -6.528
Formation energy from raw total energies, eV per atom: 0.797

```
TcP2NO
1.0
3.832 0.000 0.000
0.000 3.726 0.000
0.000 0.000 3.726
P O N Tc
2 1 1 1
Cartesian
0.000 1.863 0.000
0.000 0.000 1.863
1.916 0.000 0.000
0.000 0.000 0.000
1.916 1.863 1.863
```



Record 10
VASP calculation (PBEsol) on an optimized crystal structure of TlPNO2.

Values from the calculation:
Total energy, eV per atom: -5.871
Formation energy from raw total energies, eV per atom: -0.381

```
TlPNO2
1.0
-2.639 -0.630 -2.216
-0.748 -2.952 1.731
-2.519 2.054 2.414
N P O Tl
1 1 2 1
Cartesian
-1.259 1.027 1.207
0.000 0.000 0.000
-0.374 -1.476 0.865
-1.319 -0.315 -1.108
-2.953 -0.764 0.964
```



Record 11
VASP calculation (PBEsol) on an optimized crystal structure of TlP2NO.

Values from the calculation:
Total energy, eV per atom: -3.467
Formation energy from raw total energies, eV per atom: 2.130

```
TlP2NO
1.0
4.101 0.000 0.000
0.000 5.190 0.000
0.000 0.000 5.190
P N Tl O
2 1 1 1
Cartesian
0.000 0.000 2.595
0.000 2.595 0.000
2.050 2.595 2.595
0.000 0.000 0.000
2.050 0.000 0.000
```



Record 12
VASP calculation (PBEsol) on an optimized crystal structure of PWNO2.

Values from the calculation:
Total energy, eV per atom: -8.069
Formation energy from raw total energies, eV per atom: -0.345

```
PWNO2
1.0
3.820 0.000 0.000
0.000 3.820 0.000
0.000 0.000 4.056
N W P O
1 1 1 2
Cartesian
0.000 0.000 2.028
0.000 0.000 0.000
1.910 1.910 2.028
1.910 0.000 0.000
0.000 1.910 0.000
```